(1)
DFT (PBE) results for a geometry-optimized TbCeAgPt structure.

a = 5.102 Å, b = 5.102 Å, c = 5.102 Å
α = 60.00°, β = 60.00°, γ = 60.00°
Each line ends with the local moment (μB).
Sites, in units of the cell vectors:
Tb 0.000 0.000 0.000  0.05
Ce 0.500 0.500 0.500  0.71
Ag 0.250 0.250 0.250  0.00
Pt 0.750 0.750 0.750  -0.01

Results
As for the formation energy: -0.627 eV per atom. Its theoretical density is 10.647 g/cm³. The density of states at the Fermi level comes out at 7.69 states/eV per cell.


(2)
DFT (PBE) results for a geometry-optimized CeTmAgPt structure.

a = 5.063 Å, b = 5.063 Å, c = 5.063 Å
α = 60.00°, β = 60.00°, γ = 60.00°
Each line ends with the local moment (μB).
Sites, in units of the cell vectors:
Pt 0.750 0.750 0.750  -0.01
Tm 0.500 0.500 0.500  0.04
Ce 0.000 0.000 0.000  0.69
Ag 0.250 0.250 0.250  0.00

Results
As for the formation energy: -0.653 eV per atom. Its theoretical density is 11.077 g/cm³. The density of states at the Fermi level comes out at 7.17 states/eV per cell.


(3)
DFT (PBE) results for a geometry-optimized CeUAgPt structure.

a = 4.861 Å, b = 4.861 Å, c = 4.861 Å
α = 60.00°, β = 60.00°, γ = 60.00°
Each line ends with the local moment (μB).
Sites, in units of the cell vectors:
U 0.000 0.000 0.000  2.20
Ag 0.500 0.500 0.500  -0.01
Pt 0.250 0.250 0.250  -0.08
Ce 0.750 0.750 0.750  0.82

Results
As for the formation energy: -0.356 eV per atom. Its theoretical density is 13.921 g/cm³. The density of states at the Fermi level comes out at 10.55 states/eV per cell.


(4)
DFT (PBE) results for a geometry-optimized CeYAgPt structure.

a = 5.100 Å, b = 5.100 Å, c = 5.100 Å
α = 60.00°, β = 60.00°, γ = 60.00°
Each line ends with the local moment (μB).
Sites, in units of the cell vectors:
Ag 0.250 0.250 0.250  0.00
Ce 0.000 0.000 0.000  0.71
Y 0.500 0.500 0.500  0.04
Pt 0.750 0.750 0.750  -0.01

Results
As for the formation energy: -0.627 eV per atom. Its theoretical density is 9.416 g/cm³. The density of states at the Fermi level comes out at 7.75 states/eV per cell.


(5)
DFT (PBE) results for a geometry-optimized CeZrAgPt structure.

a = 4.972 Å, b = 4.972 Å, c = 4.972 Å
α = 60.00°, β = 60.00°, γ = 60.00°
Each line ends with the local moment (μB).
Sites, in units of the cell vectors:
Pt 0.750 0.750 0.750  0.01
Zr 0.000 0.000 0.000  0.31
Ce 0.500 0.500 0.500  0.68
Ag 0.250 0.250 0.250  0.01

Results
As for the formation energy: -0.395 eV per atom. Its theoretical density is 10.205 g/cm³. The density of states at the Fermi level comes out at 7.90 states/eV per cell.


(6)
DFT (PBE) results for a geometry-optimized CePu2Ag structure.

a = 3.389 Å, b = 3.389 Å, c = 8.413 Å
α = 90.00°, β = 90.00°, γ = 90.00°
Each line ends with the local moment (μB).
Sites, in units of the cell vectors:
Ag 0.500 0.500 0.000  0.04
Ce 0.500 0.500 0.500  0.19
Pu 0.000 0.000 0.249  5.28
Pu 0.000 0.000 0.751  5.28

Results
As for the formation energy: 0.168 eV per atom. The energy above the most stable polymorph in this dataset is 0.085 eV/atom. Its theoretical density is 12.647 g/cm³. The density of states at the Fermi level comes out at 14.16 states/eV per cell.


(7)
DFT (PBE) results for a geometry-optimized Ce5PuAg2 structure.

a = 6.437 Å, b = 6.437 Å, c = 6.438 Å
α = 103.01°, β = 103.32°, γ = 122.98°
Sites, in units of the cell vectors:
Ce 0.783 0.784 0.591
Ce 0.192 0.192 0.409
Ce 0.193 0.785 0.000
Ce 0.438 0.438 0.000
Ce 0.784 0.192 0.000
Ag 0.244 0.744 0.500
Ag 0.745 0.245 0.500
Pu 0.843 0.843 0.000

Results
As for the formation energy: -0.002 eV per atom. Its theoretical density is 9.799 g/cm³. The density of states at the Fermi level comes out at 11.86 states/eV per cell.


(8)
DFT (PBE) results for a geometry-optimized Ce2PuAg structure.

a = 5.219 Å, b = 5.219 Å, c = 5.219 Å
α = 60.00°, β = 60.00°, γ = 60.00°
Each line ends with the local moment (μB).
Sites, in units of the cell vectors:
Ag 0.500 0.500 0.500  0.01
Ce 0.750 0.750 0.750  1.02
Ce 0.250 0.250 0.250  1.02
Pu 0.000 0.000 0.000  5.83

Results
As for the formation energy: 0.036 eV per atom. The energy above the most stable polymorph in this dataset is 0.055 eV/atom. Its theoretical density is 10.445 g/cm³. The density of states at the Fermi level comes out at 5.98 states/eV per cell.


Calculated total energy across the listed records, respectively: -5.491 -5.478 -6.885 -5.950 -6.238 -9.194 -6.215 -7.227 eV per atom.